Record 1
A plane-wave DFT calculation with GGA-PBE was carried out for a geometry-optimized SiSn4Se6 structure.

Values from the calculation:
VASP energy ... -4.229 eV per atom
Density ... 4.6 Mg/m³
ΔE_f (raw) ... -0.380 eV/atom
Crystal system ... monoclinic

Cell lengths 16.790, 7.313, 14.002 Å; angles 90.00, 124.35, 90.00 degrees
Space group Cc (No. 9)
Symmetry-distinct sites (fractional):
Si 0.000 0.220 0.000 [4 per cell]
Sn 0.050 0.314 0.596 [4 per cell]
Sn 0.230 0.442 0.907 [4 per cell]
Sn 0.273 0.102 0.221 [4 per cell]
Sn 0.417 0.344 0.712 [4 per cell]
Se 0.020 0.463 0.914 [4 per cell]
Se 0.045 0.038 0.448 [4 per cell]
Se 0.096 0.224 0.197 [4 per cell]
Se 0.259 0.282 0.745 [4 per cell]
Se 0.341 0.240 0.444 [4 per cell]
Se 0.378 0.315 0.118 [4 per cell]

=====

Record 2
A plane-wave DFT calculation with GGA-PBE was carried out for a geometry-optimized Si2SnSe4 structure.

Values from the calculation:
D(E_F) ... 0.5283 states/eV per atom
VASP energy ... -4.262 eV per atom
Density ... 4.3 Mg/m³
ΔE_f (raw) ... -0.150 eV/atom
Crystal system ... tetragonal

Cell lengths 7.830, 7.830, 6.152 Å; angles 90.00, 90.00, 90.00 degrees
Space group I4/m (No. 87)
Symmetry-distinct sites (fractional):
Si 0.000 0.500 0.250 [4 per cell]
Sn 0.000 0.000 0.000 [2 per cell]
Se 0.151 0.322 0.500 [8 per cell]

=====

Record 3
A plane-wave DFT calculation with GGA-PBE was carried out for a geometry-optimized Si2SnSe structure.

Values from the calculation:
D(E_F) ... 0.4829 states/eV per atom
VASP energy ... -4.194 eV per atom
Density ... 4.0 Mg/m³
ΔE_f (raw) ... 0.390 eV/atom
Energy above the lowest structure with this stoichiometry ... 0.000 eV/atom
Crystal system ... tetragonal

Cell lengths 5.618, 5.618, 13.492 Å; angles 90.00, 90.00, 90.00 degrees
Space group I-42d (No. 122)
Symmetry-distinct sites (fractional):
Si 0.231 0.250 0.125 [8 per cell]
Sn 0.000 0.000 0.500 [4 per cell]
Se 0.000 0.000 0.000 [4 per cell]

=====

Record 4
A plane-wave DFT calculation with GGA-PBE was carried out for a geometry-optimized SiSn2Se structure.

Values from the calculation:
D(E_F) ... 0.5841 states/eV per atom
VASP energy ... -3.978 eV per atom
Density ... 6.3 Mg/m³
ΔE_f (raw) ... 0.250 eV/atom
Energy above the lowest structure with this stoichiometry ... 0.073 eV/atom
Crystal system ... cubic

Cell lengths 7.144, 7.144, 7.144 Å; angles 90.00, 90.00, 90.00 degrees
Space group Fm-3m (No. 225)
Symmetry-distinct sites (fractional):
Si 0.000 0.000 0.000 [4 per cell]
Sn 0.250 0.250 0.250 [8 per cell]
Se 0.000 0.000 0.500 [4 per cell]